Entry 1:
A plane-wave DFT calculation with PBE was carried out for Be3AlW after structural relaxation.

Crystal system   cubic

CIF file:
```
data_Be3AlW
_chemical_formula_sum 'Be3 Al1 W1'
_cell_length_a 4.029
_cell_length_b 4.029
_cell_length_c 4.029
_cell_angle_alpha 90.00
_cell_angle_beta 90.00
_cell_angle_gamma 90.00
_symmetry_space_group_name_H-M 'P m -3 m'
_symmetry_Int_Tables_number 221
_symmetry_space_group_name_Hall '-P 4 2 3'
loop_
_atom_site_label
_atom_site_type_symbol
_atom_site_fract_x
_atom_site_fract_y
_atom_site_fract_z
Be1 Be 0.000 0.000 0.500
Al1 Al 0.000 0.000 0.000
W1 W 0.500 0.500 0.500
```

***

Entry 2:
A plane-wave DFT calculation with PBE was carried out for BeAlW after structural relaxation.

Crystal system   cubic

CIF file:
```
data_BeAlW
_chemical_formula_sum 'Be4 Al4 W4'
_cell_length_a 5.526
_cell_length_b 5.526
_cell_length_c 5.526
_cell_angle_alpha 90.00
_cell_angle_beta 90.00
_cell_angle_gamma 90.00
_symmetry_space_group_name_H-M 'F -4 3 m'
_symmetry_Int_Tables_number 216
_symmetry_space_group_name_Hall 'F -4 2 3'
loop_
_atom_site_label
_atom_site_type_symbol
_atom_site_fract_x
_atom_site_fract_y
_atom_site_fract_z
Be1 Be 0.000 0.000 0.000
Al1 Al 0.250 0.250 0.750
W1 W 0.250 0.250 0.250
```

***

Entry 3:
A plane-wave DFT calculation with PBE was carried out for BeAlW3 after structural relaxation.

Crystal system   cubic

CIF file:
```
data_BeAlW3
_chemical_formula_sum 'Be1 Al1 W3'
_cell_length_a 4.249
_cell_length_b 4.249
_cell_length_c 4.249
_cell_angle_alpha 90.00
_cell_angle_beta 90.00
_cell_angle_gamma 90.00
_symmetry_space_group_name_H-M 'P m -3 m'
_symmetry_Int_Tables_number 221
_symmetry_space_group_name_Hall '-P 4 2 3'
loop_
_atom_site_label
_atom_site_type_symbol
_atom_site_fract_x
_atom_site_fract_y
_atom_site_fract_z
Be1 Be 0.000 0.000 0.000
Al1 Al 0.500 0.500 0.500
W1 W 0.000 0.000 0.500
```

***

Entry 4:
A plane-wave DFT calculation with PBE was carried out for BeAl3W after structural relaxation.

Crystal system   cubic

CIF file:
```
data_BeAl3W
_chemical_formula_sum 'Be1 Al3 W1'
_cell_length_a 4.845
_cell_length_b 4.845
_cell_length_c 4.845
_cell_angle_alpha 90.00
_cell_angle_beta 90.00
_cell_angle_gamma 90.00
_symmetry_space_group_name_H-M 'P m -3 m'
_symmetry_Int_Tables_number 221
_symmetry_space_group_name_Hall '-P 4 2 3'
loop_
_atom_site_label
_atom_site_type_symbol
_atom_site_fract_x
_atom_site_fract_y
_atom_site_fract_z
Be1 Be 0.000 0.000 0.000
Al1 Al 0.000 0.500 0.500
W1 W 0.500 0.500 0.500
```

***

Entry 5:
A plane-wave DFT calculation with PBE was carried out for BeAlW after structural relaxation.

Crystal system   trigonal

CIF file:
```
data_BeAlW
_chemical_formula_sum 'Be1 Al1 W1'
_cell_length_a 2.7828
_cell_length_b 2.7828
_cell_length_c 6.3269
_cell_angle_alpha 90.00
_cell_angle_beta 90.00
_cell_angle_gamma 120.00
_symmetry_space_group_name_H-M 'P 3 m 1'
_symmetry_Int_Tables_number 156
loop_
_symmetry_equiv_pos_as_xyz
'x,y,z'
'-y,x-y,z'
'-x+y,-x,z'
'-y,-x,z'
'-x+y,y,z'
'x,x-y,z'
loop_
_atom_site_label
_atom_site_type_symbol
_atom_site_fract_x
_atom_site_fract_y
_atom_site_fract_z
Be1 Be 0.0000 0.0000 0.0000
Al1 Al 0.3333 0.6667 0.6788
W1 W 0.6667 0.3333 0.3178
```

***

Entry 6:
A plane-wave DFT calculation with PBE was carried out for BeAlW after structural relaxation.

Crystal system   cubic

CIF file:
```
data_BeAlW
_chemical_formula_sum 'Be4 Al4 W4'
_cell_length_a 5.836
_cell_length_b 5.836
_cell_length_c 5.836
_cell_angle_alpha 90.00
_cell_angle_beta 90.00
_cell_angle_gamma 90.00
_symmetry_space_group_name_H-M 'F -4 3 m'
_symmetry_Int_Tables_number 216
_symmetry_space_group_name_Hall 'F -4 2 3'
loop_
_atom_site_label
_atom_site_type_symbol
_atom_site_fract_x
_atom_site_fract_y
_atom_site_fract_z
Be1 Be 0.000 0.000 0.000
Al1 Al 0.000 0.000 0.500
W1 W 0.250 0.250 0.750
```

***

Entry 7:
A plane-wave DFT calculation with PBE was carried out for Y2BeAlW after structural relaxation.

Crystal system   tetragonal

CIF file:
```
data_Y2BeAlW
_chemical_formula_sum 'Y2 Be1 Al1 W1'
_cell_length_a 5.069
_cell_length_b 5.069
_cell_length_c 4.349
_cell_angle_alpha 90.00
_cell_angle_beta 90.00
_cell_angle_gamma 90.00
_symmetry_space_group_name_H-M 'P 4/m m m'
_symmetry_Int_Tables_number 123
_symmetry_space_group_name_Hall '-P 4 2'
loop_
_atom_site_label
_atom_site_type_symbol
_atom_site_fract_x
_atom_site_fract_y
_atom_site_fract_z
Y1 Y 0.000 0.500 0.000
Be1 Be 0.000 0.000 0.000
Al1 Al 0.500 0.500 0.500
W1 W 0.000 0.000 0.500
```

***

Entry 8:
A plane-wave DFT calculation with PBE was carried out for BeAl2ZnW after structural relaxation.

Crystal system   tetragonal

CIF file:
```
data_BeAl2ZnW
_chemical_formula_sum 'Be1 Al2 Zn1 W1'
_cell_length_a 4.547
_cell_length_b 4.547
_cell_length_c 3.909
_cell_angle_alpha 90.00
_cell_angle_beta 90.00
_cell_angle_gamma 90.00
_symmetry_space_group_name_H-M 'P 4/m m m'
_symmetry_Int_Tables_number 123
_symmetry_space_group_name_Hall '-P 4 2'
loop_
_atom_site_label
_atom_site_type_symbol
_atom_site_fract_x
_atom_site_fract_y
_atom_site_fract_z
Be1 Be 0.000 0.000 0.000
Al1 Al 0.000 0.500 0.500
Zn1 Zn 0.000 0.000 0.500
W1 W 0.500 0.500 0.000
```

***

Entry 9:
A plane-wave DFT calculation with PBE was carried out for Zr2BeAlW after structural relaxation.

Crystal system   tetragonal

CIF file:
```
data_Zr2BeAlW
_chemical_formula_sum 'Zr2 Be1 Al1 W1'
_cell_length_a 5.009
_cell_length_b 5.009
_cell_length_c 4.888
_cell_angle_alpha 90.00
_cell_angle_beta 90.00
_cell_angle_gamma 90.00
_symmetry_space_group_name_H-M 'P 4/m m m'
_symmetry_Int_Tables_number 123
_symmetry_space_group_name_Hall '-P 4 2'
loop_
_atom_site_label
_atom_site_type_symbol
_atom_site_fract_x
_atom_site_fract_y
_atom_site_fract_z
Zr1 Zr 0.000 0.500 0.000
Be1 Be 0.000 0.000 0.500
Al1 Al 0.500 0.500 0.500
W1 W 0.500 0.500 0.000
```

***

Entry 10:
A plane-wave DFT calculation with PBE was carried out for YBeAl after structural relaxation.

Crystal system   orthorhombic

CIF file:
```
data_YBeAl
_chemical_formula_sum 'Y4 Be4 Al4'
_cell_length_a 6.162
_cell_length_b 4.278
_cell_length_c 8.844
_cell_angle_alpha 90.00
_cell_angle_beta 90.00
_cell_angle_gamma 90.00
_symmetry_space_group_name_H-M 'P n m a'
_symmetry_Int_Tables_number 62
loop_
_symmetry_equiv_pos_as_xyz
'x,y,z'
'-x,-y,-z'
'-x+1/2,-y,z+1/2'
'x+1/2,y,-z+1/2'
'x+1/2,-y+1/2,-z+1/2'
'-x+1/2,y+1/2,z+1/2'
'-x,y+1/2,-z'
'x,-y+1/2,z'
loop_
_atom_site_label
_atom_site_type_symbol
_atom_site_fract_x
_atom_site_fract_y
_atom_site_fract_z
Y1 Y 0.153 0.250 0.099
Be1 Be 0.028 0.250 0.703
Al1 Al 0.127 0.250 0.426
```

***

Entry 11:
A plane-wave DFT calculation with PBE was carried out for YBeAl after structural relaxation.

Crystal system   cubic

CIF file:
```
data_YBeAl
_chemical_formula_sum 'Y4 Be4 Al4'
_cell_length_a 6.574
_cell_length_b 6.574
_cell_length_c 6.574
_cell_angle_alpha 90.00
_cell_angle_beta 90.00
_cell_angle_gamma 90.00
_symmetry_space_group_name_H-M 'F -4 3 m'
_symmetry_Int_Tables_number 216
_symmetry_space_group_name_Hall 'F -4 2 3'
loop_
_atom_site_label
_atom_site_type_symbol
_atom_site_fract_x
_atom_site_fract_y
_atom_site_fract_z
Y1 Y 0.000 0.000 0.000
Be1 Be 0.250 0.250 0.250
Al1 Al 0.250 0.250 0.750
```

***

Entry 12:
A plane-wave DFT calculation with PBE was carried out for YBe2Al after structural relaxation.

Crystal system   monoclinic

CIF file:
```
data_YBe2Al
_chemical_formula_sum 'Y1 Be2 Al1'
_cell_length_a 2.834
_cell_length_b 3.952
_cell_length_c 5.892
_cell_angle_alpha 90.00
_cell_angle_beta 101.78
_cell_angle_gamma 90.00
_symmetry_space_group_name_H-M 'P 1 2/m 1'
_symmetry_Int_Tables_number 10
loop_
_symmetry_equiv_pos_as_xyz
'x,y,z'
'-x,-y,-z'
'-x,y,-z'
'x,-y,z'
loop_
_atom_site_label
_atom_site_type_symbol
_atom_site_fract_x
_atom_site_fract_y
_atom_site_fract_z
Y1 Y 0.000 0.000 0.000
Be1 Be 0.301 0.500 0.681
Al1 Al 0.500 0.000 0.500
```

***

Entry 13:
A plane-wave DFT calculation with PBE was carried out for Y2BeAl after structural relaxation.

Crystal system   orthorhombic

CIF file:
```
data_Y2BeAl
_chemical_formula_sum 'Y2 Be1 Al1'
_cell_length_a 3.450
_cell_length_b 4.583
_cell_length_c 5.990
_cell_angle_alpha 90.00
_cell_angle_beta 90.00
_cell_angle_gamma 90.00
_symmetry_space_group_name_H-M 'P m m 2'
_symmetry_Int_Tables_number 25
loop_
_symmetry_equiv_pos_as_xyz
'x,y,z'
'-x,-y,z'
'-x,y,z'
'x,-y,z'
loop_
_atom_site_label
_atom_site_type_symbol
_atom_site_fract_x
_atom_site_fract_y
_atom_site_fract_z
Y1 Y 0.000 0.000 0.000
Y2 Y 0.500 0.500 0.361
Be1 Be 0.500 0.500 0.852
Al1 Al 0.000 0.000 0.515
```

***

Entry 14:
A plane-wave DFT calculation with PBE was carried out for YBeAl after structural relaxation.

Crystal system   tetragonal

CIF file:
```
data_YBeAl
_chemical_formula_sum 'Y2 Be2 Al2'
_cell_length_a 3.126
_cell_length_b 3.126
_cell_length_c 11.096
_cell_angle_alpha 90.00
_cell_angle_beta 90.00
_cell_angle_gamma 90.00
_symmetry_space_group_name_H-M 'I 4 m m'
_symmetry_Int_Tables_number 107
_symmetry_space_group_name_Hall 'I 4 -2'
loop_
_atom_site_label
_atom_site_type_symbol
_atom_site_fract_x
_atom_site_fract_y
_atom_site_fract_z
Y1 Y 0.000 0.000 0.000
Be1 Be 0.000 0.000 0.321
Al1 Al 0.000 0.000 0.706
```

***

Entry 15:
A plane-wave DFT calculation with PBE was carried out for YBeAl3 after structural relaxation.

Crystal system   tetragonal

CIF file:
```
data_YBeAl3
_chemical_formula_sum 'Y2 Be2 Al6'
_cell_length_a 4.054
_cell_length_b 4.054
_cell_length_c 10.699
_cell_angle_alpha 90.00
_cell_angle_beta 90.00
_cell_angle_gamma 90.00
_symmetry_space_group_name_H-M 'I 4 m m'
_symmetry_Int_Tables_number 107
_symmetry_space_group_name_Hall 'I 4 -2'
loop_
_atom_site_label
_atom_site_type_symbol
_atom_site_fract_x
_atom_site_fract_y
_atom_site_fract_z
Y1 Y 0.000 0.000 0.000
Be1 Be 0.000 0.000 0.609
Al1 Al 0.000 0.000 0.395
Al2 Al 0.000 0.500 0.234
```

***

| no. | DFT formation energy (meV per atom) | Fermi-level density of states (states/eV per atom) | size of the total moment (μB/f.u.) |
| --- | --- | --- | --- |
| 1 | 1462 | 0.60 | 0.0 |
| 2 | 471 | 0.88 | 0.8 |
| 3 | 787 | 1.13 | 0.0 |
| 4 | 1205 | 0.60 | 0.0 |
| 5 | 255 | 0.54 | 0.0 |
| 6 | 1014 | 0.83 | 0.0 |
| 7 | 448 | 0.87 | 1.3 |
| 8 | 1167 | 0.54 | 0.0 |
| 9 | 1115 | 0.74 | 0.0 |
| 10 | 14 | 0.60 | 0.0 |
| 11 | 670 | 1.12 | 0.0 |
| 12 | 196 | 0.39 | 0.0 |
| 13 | 176 | 0.72 | 0.0 |
| 14 | -28 | 0.43 | 0.0 |
| 15 | -317 | 0.30 | 0.0 |